Na2SnPS5: relaxed, PBE.

Unit cell a=9.202 b=9.202 c=12.244 alpha=90.00 beta=90.00 gamma=156.23
Atoms (fractional coordinates):
Na 0.111 0.889 0.500
Na 0.115 0.885 0.824
Na 0.885 0.115 0.324
Na 0.889 0.111 0.000
Sn 0.220 0.780 0.203
Sn 0.780 0.220 0.703
P 0.434 0.566 0.579
P 0.566 0.434 0.079
S 0.046 0.954 0.168
S 0.297 0.703 0.839
S 0.321 0.679 0.544
S 0.350 0.650 0.162
S 0.490 0.510 0.437
S 0.510 0.490 0.937
S 0.650 0.350 0.662
S 0.679 0.321 0.044
S 0.703 0.297 0.339
S 0.954 0.046 0.668

Computed properties:
* symmetry: Cmc2_1
* formation energy (no corrections): -0.576 eV/atom
* ρ: 2.83 g cm⁻³